Density functional theory data (PBE) for KCr4Pb after structural relaxation.

a b c (Å): 5.2708 5.2708 5.2708
angles (deg): 60.00 60.00 60.00
Last column: nearest neighbours and their distance in Å.
Fractional coordinates of all 6 atoms:
K 0.0000 0.0000 0.0000  12 Cr 3.07, 4 Pb 3.23
Cr 0.3620 0.3620 0.3620  3 Cr 2.36
Cr 0.3620 0.3620 0.9140  3 Cr 2.36
Cr 0.3620 0.9140 0.3620  3 Cr 2.36
Cr 0.9140 0.3620 0.3620  3 Cr 2.36
Pb 0.7500 0.7500 0.7500  12 Cr 3.12, 4 K 3.23

Properties
E   -6.07 eV/atom
Volume   17.257 Å³ per atom
Formation energy from the elements   1146 meV per atom